Density functional theory data (PBE) for a relaxed structure of LaTlAg2.

- mass density (g/cm3) = 9.2
- energy relative to the lowest polymorph listed for this composition (meV per atom) = 142
- raw total energy (eV/cell) = -13.5

Geometry as CIF:
```
data_LaTlAg2
_cell_length_a 4.8571
_cell_length_b 4.8571
_cell_length_c 4.2999
_cell_angle_alpha 90.00
_cell_angle_beta 90.00
_cell_angle_gamma 90.00
_space_group_name_H-M_alt 'P 4/m m m'
_space_group_IT_number 123
_space_group_name_Hall '-P 4 2'
loop_
_atom_site_label
_atom_site_fract_x
_atom_site_fract_y
_atom_site_fract_z
La1 0.0000 0.0000 0.0000
Tl1 0.5000 0.5000 0.0000
Ag1 0.0000 0.5000 0.5000
```